(1)
DFT (PBE) results for an optimized crystal structure of Hf2Zr3Sb2.

Lattice parameters (Å, degrees): 15.3405 3.3640 7.0923 90.00 115.31 90.00
Element x y z (fractional)
Hf 0.1550 0.0000 0.4865
Hf 0.3450 0.5000 0.5135
Hf 0.6550 0.5000 0.4865
Hf 0.8450 0.0000 0.5135
Zr 0.0000 0.0000 0.0000
Zr 0.2101 0.0000 0.1278
Zr 0.2899 0.5000 0.8722
Zr 0.5000 0.5000 0.0000
Zr 0.7101 0.5000 0.1278
Zr 0.7899 0.0000 0.8722
Sb 0.0746 0.5000 0.7569
Sb 0.4254 0.0000 0.2431
Sb 0.5746 0.0000 0.7569
Sb 0.9254 0.5000 0.2431

Magnetic moment (Bohr magnetons per cell): 0.0
Uncorrected energy (eV/atom): -7.826
Raw formation energy (kJ/mol of formula units): -95
SG: C2/m (12)

(2)
DFT (PBE) results for an optimized crystal structure of CaSiAg.

Lattice parameters (Å, degrees): 3.4187 4.4330 8.5919 90.00 90.00 90.00
Element x y z (fractional)
Ca 0.0000 0.0000 0.0000
Ca 0.5000 0.5000 0.5000
Si 0.0000 0.0000 0.3394
Si 0.5000 0.5000 0.8394
Ag 0.0000 0.0000 0.6590
Ag 0.5000 0.5000 0.1590

Magnetic moment (Bohr magnetons per cell): 0.0
Uncorrected energy (eV/atom): -3.453
Raw formation energy (kJ/mol of formula units): -8
SG: Imm2 (44)

(3)
DFT (PBE) results for an optimized crystal structure of Ti2BiO.

Lattice parameters (Å, degrees): 3.3794 3.3794 19.4000 90.00 90.00 120.00
Element x y z (fractional)
Ti 0.0000 0.0000 0.2143
Ti 0.0000 0.0000 0.7857
Ti 0.3333 0.6667 0.4524
Ti 0.3333 0.6667 0.8809
Ti 0.6667 0.3333 0.1191
Ti 0.6667 0.3333 0.5476
Bi 0.0000 0.0000 0.0000
Bi 0.3333 0.6667 0.6667
Bi 0.6667 0.3333 0.3333
O 0.0000 0.0000 0.5000
O 0.3333 0.6667 0.1667
O 0.6667 0.3333 0.8333

Magnetic moment (Bohr magnetons per cell): 0.0
Uncorrected energy (eV/atom): -7.267
Raw formation energy (kJ/mol of formula units): -428
SG: R-3m (166)